No. 1
The following is a GGA-PBE calculation of a relaxed PmErTmZr crystal, from Alexandria via LeMat-Bulk.

Lattice parameters (Å, degrees): 5.4818 5.4818 5.4818 60.00 60.00 60.00
With the nearest neighbours (Å) after each atom.
Atoms (fractional coordinates):
Er (0.5000, 0.5000, 0.5000)  4 Zr 3.36, 4 Pm 3.36
Tm (0.0000, 0.0000, 0.0000)  4 Zr 3.36, 4 Pm 3.36
Zr (0.2500, 0.2500, 0.2500)  4 Er 3.36, 4 Tm 3.36
Pm (0.7500, 0.7500, 0.7500)  4 Tm 3.36, 4 Er 3.36

Energy relative to the elements   0.211 eV per atom
DOS at the Fermi energy   7.44 states/eV per cell
Calculated density   8.16 g/cm3



No. 2
The following is a GGA-PBE calculation of a relaxed PmEr2Tm5Zr crystal, from Alexandria via LeMat-Bulk.

Lattice parameters (Å, degrees): 5.5614 11.0339 9.2570 90.00 90.00 104.60
With the nearest neighbours (Å) after each atom.
Atoms (fractional coordinates):
Pm (0.5988, 0.1976, 0.9254)  3 Tm 2.98-3.33
Pm (0.4012, 0.8024, 0.4254)  3 Tm 2.98-3.33
Er (0.8855, 0.7711, 0.8190)  1 Zr 3.18, 9 Tm 3.27-3.56
Er (0.1362, 0.2723, 0.7122)  1 Zr 3.05, 2 Tm 3.25
Er (0.1145, 0.2289, 0.3190)  1 Zr 3.18, 9 Tm 3.27-3.56
Er (0.8638, 0.7277, 0.2122)  1 Zr 3.05, 2 Tm 3.25
Tm (0.3927, 0.7855, 0.0425)  3 Tm 3.21-3.58, 4 Er 3.25-3.47, 1 Pm 3.55
Tm (0.7323, 0.4646, 0.8308)  1 Pm 2.98, 1 Er 3.27
Tm (0.4714, 0.9427, 0.7470)  2 Pm 3.18-3.33, 4 Tm 3.21-3.54, 2 Er 3.40
Tm (0.3040, 0.6081, 0.7142)  2 Zr 3.32, 5 Tm 3.35-3.63, 1 Pm 3.38, 3 Er 3.42-3.58
Tm (0.9867, 0.9733, 0.5136)  2 Er 3.27-3.56, 2 Pm 3.42, 2 Tm 3.54
Tm (0.6073, 0.2145, 0.5425)  3 Tm 3.21-3.58, 4 Er 3.25-3.47, 1 Pm 3.55
Tm (0.2677, 0.5354, 0.3308)  1 Pm 2.98, 1 Er 3.27
Tm (0.5286, 0.0573, 0.2470)  2 Pm 3.18-3.33, 4 Tm 3.21-3.54, 2 Er 3.40
Tm (0.6960, 0.3919, 0.2142)  2 Zr 3.32, 5 Tm 3.35-3.63, 1 Pm 3.38, 3 Er 3.42-3.58
Tm (0.0133, 0.0267, 0.0136)  2 Er 3.27-3.56, 2 Pm 3.42, 2 Tm 3.54
Zr (0.8128, 0.6256, 0.5193)  2 Er 3.05-3.18, 3 Tm 3.32-3.36
Zr (0.1872, 0.3744, 0.0193)  2 Er 3.05-3.18, 3 Tm 3.32-3.36

Energy relative to the elements   0.179 eV per atom
DOS at the Fermi energy   24.36 states/eV per cell
Calculated density   8.55 g/cm3



Question: What is the energy relative to the elements in the second record?
Answer: 0.179 eV per atom



Question: Look up the energy relative to the elements of the second one.
Answer: 0.179 eV per atom



Question: The highest energy relative to the elements belongs to which entry?
Answer: PmErTmZr



Question: Among the records above, which one has the lowest DOS at the Fermi energy?
Answer: PmErTmZr